# 1
The following is a DFT calculation (PBE) of a relaxed Pm2ZnTe crystal.

Output
- excess energy over the best structure of this formula in the dataset (meV per atom) = 0.0
- volume (Å³ per atom) = 28.92
- raw formation energy (eV per atom) = -0.829

extended XYZ file:
```
16
Lattice="4.309 0.000 0.000 0.000 24.076 0.000 0.000 0.000 4.460" Properties=species:S:1:pos:R:3 pbc="T T T"
Pm 0.000 1.507 1.115
Pm 0.000 7.896 1.115
Pm 0.000 16.181 3.345
Pm 0.000 22.570 3.345
Pm 2.154 4.143 3.345
Pm 2.154 10.532 3.345
Pm 2.154 13.545 1.115
Pm 2.154 19.934 1.115
Zn 0.000 11.132 1.115
Zn 0.000 12.945 3.345
Zn 2.154 0.906 3.345
Zn 2.154 23.170 1.115
Te 0.000 4.675 1.115
Te 0.000 19.402 3.345
Te 2.154 7.364 3.345
Te 2.154 16.713 1.115
```

---

# 2
The following is a DFT calculation (PBE) of a relaxed Pm2ZnTe crystal.

Output
- excess energy over the best structure of this formula in the dataset (meV per atom) = 81.5
- volume (Å³ per atom) = 29.88
- raw formation energy (eV per atom) = -0.747

extended XYZ file:
```
12
Lattice="4.175 0.000 0.000 -2.087 3.616 0.000 0.000 0.000 23.754" Properties=species:S:1:pos:R:3 pbc="T T T"
Pm 0.000 0.000 0.000
Pm 0.000 0.000 4.187
Pm 0.000 2.410 15.836
Pm 0.000 2.410 20.023
Pm 2.087 1.205 7.918
Pm 2.087 1.205 12.105
Zn 0.000 0.000 13.993
Zn 0.000 2.410 6.074
Zn 2.087 1.205 21.911
Te 0.000 0.000 9.993
Te 0.000 2.410 2.075
Te 2.087 1.205 17.911
```

---

# 3
The following is a DFT calculation (PBE) of a relaxed Pm2ZnTe crystal.

Output
- excess energy over the best structure of this formula in the dataset (meV per atom) = 213.2
- volume (Å³ per atom) = 26.88
- raw formation energy (eV per atom) = -0.615

extended XYZ file:
```
16
Lattice="7.548 0.000 0.000 0.000 7.548 0.000 0.000 0.000 7.548" Properties=species:S:1:pos:R:3 pbc="T T T"
Pm 1.887 1.887 1.887
Pm 1.887 1.887 5.661
Pm 1.887 5.661 1.887
Pm 1.887 5.661 5.661
Pm 5.661 1.887 1.887
Pm 5.661 1.887 5.661
Pm 5.661 5.661 1.887
Pm 5.661 5.661 5.661
Zn 0.000 0.000 0.000
Zn 0.000 3.774 3.774
Zn 3.774 0.000 3.774
Zn 3.774 3.774 0.000
Te 0.000 0.000 3.774
Te 0.000 3.774 0.000
Te 3.774 0.000 0.000
Te 3.774 3.774 3.774
```

---

Q: The highest raw formation energy belongs to which entry?
A: number 3

---

Q: The highest excess energy over the best structure of this formula in the dataset belongs to which entry?
A: number 3